No. 1
Density functional theory data (meta-GGA SCAN) for HoLuAl2 at its PBEsol-relaxed geometry.

For the total magnetic moment, the calculation gives 0.0 μB per formula unit. As for the crystal system: cubic. The formation energy comes out at -0.4070 eV/atom.

The space group is Fm-3m (No. 225) and the conventional cell measures 7.0170, 7.0170 and 7.0170 Å, with angles of 90.00, 90.00 and 90.00 degrees. The inequivalent atoms are Ho at (0.0000, 0.0000, 0.0000), Lu at (0.0000, 0.0000, 0.5000) and Al at (0.2500, 0.2500, 0.2500).

No. 2
Density functional theory data (meta-GGA SCAN) for HoMn6Al6 at its PBEsol-relaxed geometry.

For the total magnetic moment, the calculation gives 4.4 μB per formula unit. As for the crystal system: orthorhombic. The formation energy comes out at -0.3480 eV/atom.

The space group is Immm (No. 71) and the conventional cell measures 4.8685, 8.4188 and 8.5390 Å, with angles of 90.00, 90.00 and 90.00 degrees. The inequivalent atoms are Ho at (0.0000, 0.0000, 0.0000), Mn at (0.0000, 0.5000, 0.2600), Mn at (0.2500, 0.2500, 0.2500), Al at (0.0000, 0.0000, 0.3409), Al at (0.0000, 0.3058, 0.5000) and Al at (0.0000, 0.3469, 0.0000).

No. 3
Density functional theory data (meta-GGA SCAN) for NdHoAl4 at its PBEsol-relaxed geometry.

For the total magnetic moment, the calculation gives 0.0 μB per formula unit. As for the crystal system: cubic. The formation energy comes out at -0.5299 eV/atom.

The space group is F-43m (No. 216) and the conventional cell measures 7.8684, 7.8684 and 7.8684 Å, with angles of 90.00, 90.00 and 90.00 degrees. The inequivalent atoms are Nd at (0.0000, 0.0000, 0.0000), Ho at (0.2500, 0.2500, 0.7500) and Al at (0.1249, 0.1249, 0.3751).

No. 4
Density functional theory data (meta-GGA SCAN) for HoAlNi4 at its PBEsol-relaxed geometry.

For the total magnetic moment, the calculation gives 0.0 μB per formula unit. As for the crystal system: orthorhombic. The formation energy comes out at -0.5589 eV/atom.

The space group is Cmmm (No. 65) and the conventional cell measures 4.9129, 8.2906 and 3.9672 Å, with angles of 90.00, 90.00 and 90.00 degrees. The inequivalent atoms are Ho at (0.0000, 0.0000, 0.0000), Al at (0.0000, 0.5000, 0.5000), Ni at (0.0000, 0.3305, 0.0000) and Ni at (0.2500, 0.2500, 0.5000).

No. 5
Density functional theory data (meta-GGA SCAN) for HoAl2Ni at its PBEsol-relaxed geometry.

For the total magnetic moment, the calculation gives 0.0 μB per formula unit. As for the crystal system: orthorhombic. The formation energy comes out at -0.7102 eV/atom.

The space group is Cmcm (No. 63) and the conventional cell measures 4.0155, 9.9694 and 6.8204 Å, with angles of 90.00, 90.00 and 90.00 degrees. The inequivalent atoms are Ho at (0.0000, 0.0617, 0.2500), Al at (0.0000, 0.3448, 0.0540) and Ni at (0.0000, 0.2155, 0.7500).

No. 6
Density functional theory data (meta-GGA SCAN) for HoAl3Ni2 at its PBEsol-relaxed geometry.

For the total magnetic moment, the calculation gives 0.0 μB per formula unit. As for the crystal system: hexagonal. The formation energy comes out at -0.6887 eV/atom.

The space group is P6/mmm (No. 191) and the conventional cell measures 5.1926, 5.1926 and 3.9428 Å, with angles of 90.00, 90.00 and 120.00 degrees. The inequivalent atoms are Ho at (0.0000, 0.0000, 0.0000), Al at (0.0000, 0.5000, 0.5000) and Ni at (0.3333, 0.6667, 0.0000).

No. 7
Density functional theory data (meta-GGA SCAN) for Ho3Al2Ni6 at its PBEsol-relaxed geometry.

For the total magnetic moment, the calculation gives 0.0 μB per formula unit. As for the crystal system: cubic. The formation energy comes out at -0.6152 eV/atom.

The space group is Im-3m (No. 229) and the conventional cell measures 8.7541, 8.7541 and 8.7541 Å, with angles of 90.00, 90.00 and 90.00 degrees. The inequivalent atoms are Ho at (0.0000, 0.0000, 0.2917), Al at (0.2500, 0.2500, 0.2500) and Ni at (0.0000, 0.3367, 0.3367).

No. 8
Density functional theory data (meta-GGA SCAN) for HoAlNi4 at its PBEsol-relaxed geometry.

For the total magnetic moment, the calculation gives 0.0 μB per formula unit. As for the crystal system: hexagonal. The formation energy comes out at -0.4839 eV/atom.

The space group is P-6m2 (No. 187) and the conventional cell measures 4.9625, 4.9625 and 3.8133 Å, with angles of 90.00, 90.00 and 120.00 degrees. The inequivalent atoms are Ho at (0.0000, 0.0000, 0.0000), Al at (0.6667, 0.3333, 0.0000), Ni at (0.0046, 0.5023, 0.5000) and Ni at (0.3333, 0.6667, 0.0000).